No. 1
First-principles (GGA-PBEsol) data for crystalline Sc2AlP at its relaxed geometry, as listed in Alexandria.

Calculated values
V = 18.1 A^3/atom
calculated formation energy = -0.616 eV per atom
total energy = -6.39 eV per atom

Lattice parameters (Å, degrees): 3.766 4.797 5.040 118.42 111.94 90.00
Fractional coordinates of all 4 atoms:
Sc1 0.272 0.272 0.544
Al1 0.500 0.000 0.000
P1 0.000 0.500 0.000
Sc2 0.728 0.728 0.456



No. 2
First-principles (GGA-PBEsol) data for crystalline Sc2AlP at its relaxed geometry, as listed in Alexandria.

Calculated values
V = 17.9 A^3/atom
calculated formation energy = -0.491 eV per atom
total energy = -6.26 eV per atom

Lattice parameters (Å, degrees): 4.664 4.664 4.664 60.00 60.00 60.00
Fractional coordinates of all 4 atoms:
Sc1 0.250 0.250 0.250
P1 0.500 0.500 0.500
Sc2 0.750 0.750 0.750
Al1 0.000 0.000 0.000



No. 3
First-principles (GGA-PBEsol) data for crystalline ScAlP2 at its relaxed geometry, as listed in Alexandria.

Calculated values
V = 15.6 A^3/atom
calculated formation energy = -0.575 eV per atom
total energy = -6.14 eV per atom

Lattice parameters (Å, degrees): 3.380 4.314 4.314 96.07 90.00 90.00
Fractional coordinates of all 4 atoms:
P1 0.000 0.500 0.000
Sc1 0.500 0.000 0.000
P2 0.000 0.000 0.500
Al1 0.500 0.500 0.500



Results for size of the total moment: 0.000; 0.000; 0.000 (in μB per formula unit, following the order of the records).